No. 1
! Na2ThRhO4 (GGA-PBE, optimized geometry); values from VASP
&SYSTEM
  ibrav = 0, nat = 8, ntyp = 4
/
ATOMIC_SPECIES
Th 232.04 Th.upf
Na 22.99 Na.upf
O 16.00 O.upf
Rh 102.91 Rh.upf
ATOMIC_POSITIONS crystal
Th 0.5000 0.5000 0.0000
Na 0.5000 0.0000 0.5000
O 0.5000 0.7914 0.7985
O 0.5000 0.2086 0.2015
O 0.0000 0.7150 0.2464
Rh 0.0000 0.0000 0.0000
O 0.0000 0.2850 0.7536
Na 0.0000 0.5000 0.5000
CELL_PARAMETERS angstrom
3.4394 0.0000 0.0000
0.0000 5.5520 -0.1433
0.0000 -2.1586 5.8585
! Formation energy (no corrections) in eV/atom: -1.955
! Crystal system: monoclinic
! VASP energy in eV/cell: -52.88
! Magnetic moment in μB/atom: 0.1248

No. 2
! NaTiRhO4 (GGA-PBE, optimized geometry); values from VASP
&SYSTEM
  ibrav = 0, nat = 14, ntyp = 4
/
ATOMIC_SPECIES
Ti 47.87 Ti.upf
Na 22.99 Na.upf
O 16.00 O.upf
Rh 102.91 Rh.upf
ATOMIC_POSITIONS crystal
Ti 0.5000 0.0000 0.0000
Na 0.8916 0.7831 0.1416
O 0.3057 0.0087 0.2544
Ti 0.5000 0.0000 0.5000
O 0.2672 0.5345 0.3047
O 0.7328 0.4655 0.6953
Rh 0.5000 0.5000 0.5000
O 0.2970 0.9913 0.7456
O 0.7030 0.0087 0.2544
O 0.6943 0.9913 0.7456
O 0.7328 0.4655 0.2702
Rh 0.0000 0.5000 0.5000
O 0.2672 0.5345 0.7298
Na 0.1084 0.2169 0.8584
CELL_PARAMETERS angstrom
-0.2472 5.0984 -4.0846
-5.0867 -2.8050 2.0384
3.4027 3.2616 3.8653
! Formation energy (no corrections) in eV/atom: -1.920
! Crystal system: orthorhombic
! VASP energy in eV/cell: -99.67
! Magnetic moment in μB/atom: 0.0000

No. 3
! Na3TiRh2O6 (GGA-PBE, optimized geometry); values from VASP
&SYSTEM
  ibrav = 0, nat = 12, ntyp = 4
/
ATOMIC_SPECIES
O 16.00 O.upf
Na 22.99 Na.upf
Rh 102.91 Rh.upf
Ti 47.87 Ti.upf
ATOMIC_POSITIONS crystal
O 0.0689 0.3876 0.2047
Na 0.8268 0.1732 0.5000
Rh 0.6664 0.3336 0.0000
O 0.7492 0.7492 0.2049
O 0.2508 0.2508 0.7951
Ti 0.0000 0.0000 0.0000
O 0.9311 0.6124 0.7953
Na 0.1732 0.8268 0.5000
Na 0.5000 0.5000 0.5000
Rh 0.3336 0.6664 0.0000
O 0.3876 0.0689 0.2047
O 0.6124 0.9311 0.7953
CELL_PARAMETERS angstrom
5.3951 -0.0034 0.0039
-2.6992 4.6713 0.0039
-0.8953 -1.5502 5.3577
! Formation energy (no corrections) in eV/atom: -1.543
! Crystal system: monoclinic
! VASP energy in eV/cell: -74.82
! Magnetic moment in μB/atom: 0.0832

No. 4
! Na2TlRhO4 (GGA-PBE, optimized geometry); values from VASP
&SYSTEM
  ibrav = 0, nat = 8, ntyp = 4
/
ATOMIC_SPECIES
O 16.00 O.upf
Na 22.99 Na.upf
Rh 102.91 Rh.upf
Tl 204.38 Tl.upf
ATOMIC_POSITIONS crystal
O 0.0000 0.7075 0.2017
Na 0.5000 0.0000 0.5000
O 0.0000 0.2925 0.7983
O 0.5000 0.2717 0.2167
Rh 0.5000 0.5000 0.0000
O 0.5000 0.7283 0.7833
Tl 0.0000 0.0000 0.0000
Na 0.0000 0.5000 0.5000
CELL_PARAMETERS angstrom
3.2783 0.0000 0.0000
0.0000 5.7870 0.0895
0.0000 -2.0307 5.3403
! Formation energy (no corrections) in eV/atom: -1.077
! Crystal system: monoclinic
! VASP energy in eV/cell: -40.81
! Magnetic moment in μB/atom: 0.0000

No. 5
! Na2TlRh3O8 (GGA-PBE, optimized geometry); values from VASP
&SYSTEM
  ibrav = 0, nat = 14, ntyp = 4
/
ATOMIC_SPECIES
Tl 204.38 Tl.upf
O 16.00 O.upf
Na 22.99 Na.upf
Rh 102.91 Rh.upf
ATOMIC_POSITIONS crystal
Tl 0.8864 0.8864 0.3407
O 0.6971 0.2418 0.8192
Na 0.1252 0.1252 0.6243
Rh 0.0083 0.4978 0.9961
O 0.2418 0.2418 0.8192
Rh 0.4978 0.4978 0.9961
Rh 0.4978 0.0083 0.9961
O 0.7433 0.7433 0.2018
O 0.2418 0.6971 0.8192
O 0.3116 0.7433 0.2018
O 0.2692 0.2692 0.1925
Na 0.4962 0.4962 0.5115
O 0.7433 0.3116 0.2018
O 0.7328 0.7328 0.8017
CELL_PARAMETERS angstrom
6.3294 0.0000 0.0000
3.1647 5.4814 0.0000
3.1647 1.8271 5.3466
! Formation energy (no corrections) in eV/atom: -0.939
! Crystal system: trigonal
! VASP energy in eV/cell: -79.87
! Magnetic moment in μB/atom: 0.0000

No. 6
! Na3Tl3RhO8 (GGA-PBE, optimized geometry); values from VASP
&SYSTEM
  ibrav = 0, nat = 15, ntyp = 4
/
ATOMIC_SPECIES
O 16.00 O.upf
Na 22.99 Na.upf
Rh 102.91 Rh.upf
Tl 204.38 Tl.upf
ATOMIC_POSITIONS crystal
O 0.7884 0.5767 0.2995
Na 0.0000 0.0000 0.0000
Rh 0.0000 0.0000 0.5000
O 0.7883 0.0112 0.2995
Na 0.5000 0.5000 0.0000
Tl 0.0000 0.5000 0.5000
Na 0.0000 0.5000 0.0000
O 0.7428 0.4855 0.7280
O 0.2116 0.4233 0.7005
O 0.2229 0.0112 0.2995
O 0.2572 0.5145 0.2720
Tl 0.5000 0.0000 0.5000
Tl 0.5000 0.5000 0.5000
O 0.2117 0.9888 0.7005
O 0.7771 0.9888 0.7005
CELL_PARAMETERS angstrom
6.7405 0.0000 0.0000
-3.3703 5.8384 -0.0200
0.0000 -3.8725 5.5551
! Formation energy (no corrections) in eV/atom: -1.013
! Crystal system: trigonal
! VASP energy in eV/cell: -73.27
! Magnetic moment in μB/atom: 0.0714

Q: Which formula does entry 1 have?
A: Na2ThRhO4